1.
LiTiPt2 | PBE | optimized geometry

```
data_LiTiPt2
_chemical_formula_sum 'Li1 Ti1 Pt2'
_cell_length_a 4.355
_cell_length_b 4.355
_cell_length_c 4.355
_cell_angle_alpha 60.00
_cell_angle_beta 60.00
_cell_angle_gamma 60.00
_symmetry_space_group_name_H-M 'P 1'
_symmetry_Int_Tables_number 1
loop_
_symmetry_equiv_pos_as_xyz
'x,y,z'
loop_
_atom_site_label
_atom_site_fract_x
_atom_site_fract_y
_atom_site_fract_z
Pt1 0.750 0.750 0.750
Li1 0.000 0.000 0.000
Pt2 0.250 0.250 0.250
Ti1 0.500 0.500 0.500
```

Energy of formation from the pure elements   -3.35 eV/f.u.
Fermi-level density of states   3.6 states/eV per cell
Relative energy among the computed polymorphs   27.4 meV per atom
Total magnetization   0.000 μB per atom

---

2.
Pm7Sm3Tm | PBE | optimized geometry

```
data_Pm7Sm3Tm
_chemical_formula_sum 'Pm7 Sm3 Tm1'
_cell_length_a 8.744
_cell_length_b 7.192
_cell_length_c 7.192
_cell_angle_alpha 120.00
_cell_angle_beta 90.00
_cell_angle_gamma 90.00
_symmetry_space_group_name_H-M 'P 1'
_symmetry_Int_Tables_number 1
loop_
_symmetry_equiv_pos_as_xyz
'x,y,z'
loop_
_atom_site_label
_atom_site_fract_x
_atom_site_fract_y
_atom_site_fract_z
Sm1 0.782 0.500 0.999
Pm1 0.123 0.667 0.333
Sm2 0.782 0.001 0.500
Pm2 0.452 0.334 0.167
Pm3 0.452 0.833 0.666
Pm4 0.452 0.833 0.167
Pm5 0.115 0.167 0.335
Pm6 0.115 0.167 0.833
Tm1 0.444 0.333 0.667
Pm7 0.115 0.665 0.833
Sm3 0.782 0.500 0.500
```

Energy of formation from the pure elements   1.89 eV/f.u.
Fermi-level density of states   16.3 states/eV per cell
Relative energy among the computed polymorphs   0.0 meV per atom
Total magnetization   0.000 μB per atom